# 1
10
Lattice="-4.872 -3.955 3.397 0.921 -7.050 0.607 1.721 -2.811 6.691" Properties=species:S:1:pos:R:3 comment="AcSmY2S6, relaxed, DFT PBE" formation_energy_uncorrected_mev_per_atom=-2075 total_energy_ev_per_atom=-6.73 dos_at_fermi_per_ev_cell=0.00 crystal_system=trigonal pbc="T T T"
Y -1.285 -6.956 5.048
S 0.125 -8.700 6.690
S -2.417 -4.768 3.882
S 0.873 -5.343 5.728
S -2.121 -6.055 7.541
Sm -1.130 -3.616 1.664
Ac -2.150 -10.497 7.180
S 0.132 -7.959 2.947
S -3.411 -8.661 5.070
Y 1.597 -2.846 6.471

# 2
18
Lattice="-4.823 4.785 3.173 -4.287 -5.890 2.365 9.488 0.191 5.273" Properties=species:S:1:pos:R:3 comment="Ac2Sn2S5, relaxed, DFT PBE" formation_energy_uncorrected_mev_per_atom=-1240 total_energy_ev_per_atom=-5.34 crystal_system=orthorhombic pbc="T T T"
Sn -4.504 -0.483 2.741
S 6.875 -0.180 5.862
Ac -0.992 -3.286 3.140
Ac 1.121 2.031 7.808
Ac -1.427 2.217 3.654
Sn -2.239 -1.335 6.856
S -6.281 -0.989 4.805
S -1.870 -0.686 4.314
Sn 1.983 -0.452 4.306
S 4.498 -2.894 7.198
Ac 1.557 -3.473 7.294
S 1.513 -3.830 4.442
S 1.195 1.345 2.525
S -4.370 2.187 3.776
S 0.217 -0.839 7.716
Sn -4.236 -5.820 2.337
S 3.282 1.192 5.927
S -0.732 3.469 6.147